Record 1
Material: Ti2NbHPt
Method: DFT, PBE-GGA
State: relaxed

## Properties
ΔE to the lowest computed polymorph, meV/atom: 69
N(E_F), states/eV per atom: 0.9064

Lattice parameters (Å, degrees): 4.3372 4.3372 3.6267 90.00 90.00 90.00
Closest atoms and distances in Å follow each position.
Element x y z (fractional)
1 H 0.0000 0.0000 0.0000  2 Pt 1.81
2 Pt 0.0000 0.0000 0.5000  2 H 1.81
3 Nb 0.5000 0.5000 0.5000  8 Ti 2.83, 4 Pt 3.07
4 Ti 0.5000 0.0000 0.0000  2 H 2.17
5 Ti 0.0000 0.5000 0.0000  2 H 2.17


Record 2
Material: TiNbHPt2
Method: DFT, PBE-GGA
State: relaxed

## Properties
Energy, eV/f.u.: -35.71
N(E_F), states/eV per atom: 0.5751

Lattice parameters (Å, degrees): 3.9463 4.2598 3.9463 90.00 90.00 90.00
Closest atoms and distances in Å follow each position.
Element x y z (fractional)
1 Ti 0.0000 0.5000 0.0000  2 H 2.13
2 Pt 0.0000 0.0000 0.5000  2 H 1.97
3 Pt 0.5000 0.0000 0.0000  2 H 1.97
4 Nb 0.5000 0.5000 0.5000  4 Ti 2.79, 8 Pt 2.90
5 H 0.0000 0.0000 0.0000  4 Pt 1.97, 2 Ti 2.13


Record 3
Material: Nb2HPtW
Method: DFT, PBE-GGA
State: relaxed

## Properties
ΔE to the lowest computed polymorph, meV/atom: 38
N(E_F), states/eV per atom: 0.7931

Lattice parameters (Å, degrees): 4.3681 4.3681 3.6851 90.00 90.00 90.00
Closest atoms and distances in Å follow each position.
Element x y z (fractional)
1 H 0.0000 0.0000 0.0000  2 Pt 1.84
2 Nb 0.0000 0.5000 0.0000  2 H 2.18
3 Nb 0.5000 0.0000 0.0000  2 H 2.18
4 Pt 0.0000 0.0000 0.5000  2 H 1.84
5 W 0.5000 0.5000 0.5000  8 Nb 2.86, 4 Pt 3.09


Record 4
Material: Nb2HPtW
Method: DFT, PBE-GGA
State: relaxed

## Properties
ΔE to the lowest computed polymorph, meV/atom: 0
N(E_F), states/eV per atom: 0.9621

Lattice parameters (Å, degrees): 4.2044 4.2044 3.9425 90.00 90.00 90.00
Closest atoms and distances in Å follow each position.
Element x y z (fractional)
1 Pt 0.5000 0.5000 0.5000  8 Nb 2.88, 4 W 2.97
2 W 0.0000 0.0000 0.5000  2 H 1.97
3 Nb 0.0000 0.5000 0.0000  2 H 2.10
4 Nb 0.5000 0.0000 0.0000  2 H 2.10
5 H 0.0000 0.0000 0.0000  2 W 1.97, 4 Nb 2.10


Record 5
Material: NbZnH2Pt
Method: DFT, PBE-GGA
State: relaxed

## Properties
Energy, eV/f.u.: -22.00
N(E_F), states/eV per atom: 0.6031

Lattice parameters (Å, degrees): 3.6031 4.8719 3.6031 90.00 90.00 90.00
Closest atoms and distances in Å follow each position.
Element x y z (fractional)
1 H 0.5000 0.0000 0.0000  2 Pt 1.80
2 H 0.0000 0.0000 0.5000  2 Pt 1.80
3 Nb 0.5000 0.5000 0.5000  4 Zn 2.55
4 Zn 0.0000 0.5000 0.0000  2 Pt 2.44, 4 Nb 2.55
5 Pt 0.0000 0.0000 0.0000  4 H 1.80


Record 6
Material: Zr2NbHPt
Method: DFT, PBE-GGA
State: relaxed

## Properties
ΔE to the lowest computed polymorph, meV/atom: 0
N(E_F), states/eV per atom: 0.7168

Lattice parameters (Å, degrees): 4.6341 4.6341 3.7071 90.00 90.00 90.00
Closest atoms and distances in Å follow each position.
Element x y z (fractional)
1 Zr 0.0000 0.5000 0.0000  2 H 2.32
2 Zr 0.5000 0.0000 0.0000  2 H 2.32
3 Pt 0.5000 0.5000 0.5000  8 Zr 2.97, 4 Nb 3.28
4 Nb 0.0000 0.0000 0.5000  2 H 1.85
5 H 0.0000 0.0000 0.0000  2 Nb 1.85


Record 7
Material: Zr2NbHPt
Method: DFT, PBE-GGA
State: relaxed

## Properties
ΔE to the lowest computed polymorph, meV/atom: 74
N(E_F), states/eV per atom: 0.6557

Lattice parameters (Å, degrees): 4.6525 4.6525 3.6813 90.00 90.00 90.00
Closest atoms and distances in Å follow each position.
Element x y z (fractional)
1 Nb 0.5000 0.5000 0.5000  8 Zr 2.97, 4 Pt 3.29
2 Zr 0.0000 0.5000 0.0000  2 H 2.33
3 Zr 0.5000 0.0000 0.0000  2 H 2.33
4 H 0.0000 0.0000 0.0000  2 Pt 1.84
5 Pt 0.0000 0.0000 0.5000  2 H 1.84


Record 8
Material: PuNb2H
Method: DFT, PBE-GGA
State: relaxed

## Properties
Energy, eV/f.u.: -36.68
N(E_F), states/eV per atom: 1.8467

Lattice parameters (Å, degrees): 2.9433 2.9433 8.5923 80.14 80.14 60.00
Closest atoms and distances in Å follow each position.
Element x y z (fractional)
1 H 0.5000 0.5000 0.5000  6 Nb 2.14
2 Pu 0.0000 0.0000 0.0000  2 Nb 2.90, 6 Pu 2.94
3 Nb 0.8851 0.8851 0.3447  3 H 2.14
4 Nb 0.1149 0.1149 0.6553  3 H 2.14


Record 9
Material: PuNbH2
Method: DFT, PBE-GGA
State: relaxed

## Properties
Energy, eV/f.u.: -31.56
N(E_F), states/eV per atom: 1.3056

Lattice parameters (Å, degrees): 3.0029 3.0029 6.1616 75.90 75.90 60.00
Closest atoms and distances in Å follow each position.
Element x y z (fractional)
1 Pu 0.0000 0.0000 0.0000  6 H 2.53
2 H 0.2293 0.2293 0.3122  3 Nb 2.06
3 H 0.7707 0.7707 0.6878  3 Nb 2.06
4 Nb 0.5000 0.5000 0.5000  6 H 2.06


Record 10
Material: Pu3Nb5H12
Method: DFT, PBE-GGA
State: relaxed

## Properties
Energy, eV/f.u.: -136.90
N(E_F), states/eV per atom: 1.3233

Lattice parameters (Å, degrees): 10.3166 10.3166 10.3166 109.47 109.47 109.47
Closest atoms and distances in Å follow each position.
Element x y z (fractional)
1 Nb 0.0000 0.0000 0.0000  6 H 1.94
2 Nb 0.6250 0.7500 0.8750  4 H 1.93
3 Nb 0.8750 0.2500 0.6250  4 H 1.93
4 Nb 0.3750 0.1250 0.7500  4 H 1.93
5 Nb 0.1250 0.3750 0.2500  4 H 1.93
6 Nb 0.0000 0.0000 0.5000  6 H 1.94
7 Nb 0.2500 0.3750 0.6250  4 H 1.93
8 Nb 0.0000 0.5000 0.5000  6 H 1.94
9 Nb 0.5000 0.0000 0.0000  6 H 1.94
10 Nb 0.0000 0.5000 0.0000  6 H 1.94
11 Nb 0.5000 0.5000 0.5000  6 H 1.94
12 Nb 0.5000 0.5000 0.0000  6 H 1.94
13 Nb 0.5000 0.0000 0.5000  6 H 1.94
14 Nb 0.3750 0.2500 0.1250  4 H 1.93
15 Nb 0.1250 0.7500 0.3750  4 H 1.93
16 Nb 0.6250 0.8750 0.2500  4 H 1.93
17 Nb 0.2500 0.8750 0.1250  4 H 1.93
18 Nb 0.7500 0.6250 0.3750  4 H 1.93
19 Nb 0.8750 0.6250 0.7500  4 H 1.93
20 Nb 0.7500 0.1250 0.8750  4 H 1.93
21 Pu 0.2500 0.6250 0.8750  8 H 2.22-2.24
22 Pu 0.8750 0.7500 0.1250  8 H 2.22-2.24
23 Pu 0.1250 0.8750 0.7500  8 H 2.22-2.24
24 Pu 0.7500 0.8750 0.6250  8 H 2.22-2.24
25 Pu 0.6250 0.3750 0.7500  8 H 2.22-2.24
26 Pu 0.3750 0.7500 0.6250  8 H 2.22-2.24
27 Pu 0.3750 0.6250 0.2500  8 H 2.22-2.24
28 Pu 0.6250 0.2500 0.3750  8 H 2.22-2.24
29 Pu 0.1250 0.2500 0.8750  8 H 2.22-2.24
30 Pu 0.7500 0.3750 0.1250  8 H 2.22-2.24
31 Pu 0.2500 0.1250 0.3750  8 H 2.22-2.24
32 Pu 0.8750 0.1250 0.2500  8 H 2.22-2.24
33 H 0.8342 0.9155 0.2865  2 Nb 1.93-1.94
34 H 0.2135 0.5477 0.6290  2 Nb 1.93-1.94
35 H 0.8710 0.2865 0.4523  2 Nb 1.93-1.94
36 H 0.3710 0.4187 0.0845  2 Nb 1.93-1.94
37 H 0.8710 0.5845 0.9187  2 Nb 1.93-1.94
38 H 0.7865 0.4523 0.3710  2 Nb 1.93-1.94
39 H 0.0477 0.6290 0.7135  2 Nb 1.93-1.94
40 H 0.4523 0.7865 0.8710  2 Nb 1.93-1.94
41 H 0.5813 0.9523 0.6658  2 Nb 1.93-1.94
42 H 0.9523 0.5813 0.1658  2 Nb 1.93-1.94
43 H 0.9155 0.0813 0.6290  2 Nb 1.93-1.94
44 H 0.0477 0.4187 0.8342  2 Nb 1.93-1.94
45 H 0.4155 0.2865 0.3342  2 Nb 1.93-1.94
46 H 0.0813 0.9155 0.1290  2 Nb 1.93-1.94
47 H 0.5813 0.6290 0.4155  2 Nb 1.93-1.94
48 H 0.0845 0.9187 0.3710  2 Nb 1.93-1.94
49 H 0.5845 0.8710 0.4187  2 Nb 1.93-1.94
50 H 0.4187 0.0477 0.3342  2 Nb 1.93-1.94
51 H 0.6658 0.2135 0.5845  2 Nb 1.93-1.94
52 H 0.1658 0.0845 0.7135  2 Nb 1.93-1.94
53 H 0.0845 0.1658 0.2135  2 Nb 1.93-1.94
54 H 0.3342 0.5477 0.4187  2 Nb 1.93-1.94
55 H 0.3342 0.7865 0.4155  2 Nb 1.93-1.94
56 H 0.1290 0.7135 0.5477  2 Nb 1.93-1.94
57 H 0.6290 0.5813 0.9155  2 Nb 1.93-1.94
58 H 0.0813 0.1658 0.4523  2 Nb 1.93-1.94
59 H 0.6290 0.0477 0.2135  2 Nb 1.93-1.94
60 H 0.9523 0.3710 0.2865  2 Nb 1.93-1.94
61 H 0.4523 0.6658 0.0813  2 Nb 1.93-1.94
62 H 0.2135 0.6658 0.0845  2 Nb 1.93-1.94
63 H 0.1658 0.0813 0.9523  2 Nb 1.93-1.94
64 H 0.6658 0.4523 0.5813  2 Nb 1.93-1.94
65 H 0.5477 0.3342 0.9187  2 Nb 1.93-1.94
66 H 0.9187 0.0845 0.8710  2 Nb 1.93-1.94
67 H 0.1290 0.4155 0.0813  2 Nb 1.93-1.94
68 H 0.2865 0.4155 0.8342  2 Nb 1.93-1.94
69 H 0.3710 0.9523 0.7865  2 Nb 1.93-1.94
70 H 0.4187 0.3710 0.5845  2 Nb 1.93-1.94
71 H 0.4155 0.1290 0.5813  2 Nb 1.93-1.94
72 H 0.5477 0.2135 0.1290  2 Nb 1.93-1.94
73 H 0.8342 0.9187 0.0477  2 Nb 1.93-1.94
74 H 0.5845 0.7135 0.6658  2 Nb 1.93-1.94
75 H 0.9155 0.8342 0.7865  2 Nb 1.93-1.94
76 H 0.2865 0.8710 0.9523  2 Nb 1.93-1.94
77 H 0.7135 0.5845 0.1658  2 Nb 1.93-1.94
78 H 0.9187 0.8342 0.5477  2 Nb 1.93-1.94
79 H 0.7135 0.1290 0.0477  2 Nb 1.93-1.94
80 H 0.7865 0.3342 0.9155  2 Nb 1.93-1.94


Record 11
Material: PuNbH4
Method: DFT, PBE-GGA
State: relaxed

## Properties
ΔE to the lowest computed polymorph, meV/atom: 34
N(E_F), states/eV per atom: 1.1707

Lattice parameters (Å, degrees): 5.0888 5.2201 5.6176 117.68 116.93 90.00
Closest atoms and distances in Å follow each position.
Element x y z (fractional)
1 Nb 0.8868 0.1368 0.2737  8 H 1.99-2.00
2 Nb 0.1132 0.8632 0.7263  8 H 1.99-2.00
3 H 0.7756 0.5000 0.5000  2 Nb 1.99, 2 H 2.16
4 H 0.2245 0.0000 0.5000  2 Nb 1.99, 2 H 2.16
5 H 0.0000 0.8057 0.0000  2 Nb 2.00, 3 H 2.03-2.16
6 H 0.7755 0.0000 0.5000  2 Nb 1.99, 2 H 2.16
7 H 0.0000 0.1943 0.0000  2 Nb 2.00, 3 H 2.03-2.16
8 H 0.5000 0.1943 0.0000  2 Nb 2.00, 3 H 2.03-2.16
9 H 0.2244 0.5000 0.5000  2 Nb 1.99, 2 H 2.16
10 H 0.5000 0.8057 0.0000  2 Nb 2.00, 3 H 2.03-2.16
11 Pu 0.3612 0.6112 0.2225  8 H 2.25
12 Pu 0.6388 0.3888 0.7775  8 H 2.25


Record 12
Material: Pu2NbH6
Method: DFT, PBE-GGA
State: relaxed

## Properties
Energy, eV/f.u.: -60.61
N(E_F), states/eV per atom: 1.4670

Lattice parameters (Å, degrees): 5.7154 6.1187 5.7642 90.00 114.80 90.00
Closest atoms and distances in Å follow each position.
Element x y z (fractional)
1 Nb 0.5000 0.5000 0.0000  6 H 1.90-1.95
2 Nb 0.0000 0.0000 0.5000  6 H 1.90-1.95
3 Pu 0.3745 0.0011 0.1749  8 H 2.16-2.36
4 Pu 0.1255 0.5011 0.3251  8 H 2.16-2.36
5 Pu 0.8745 0.4989 0.6749  8 H 2.16-2.36
6 Pu 0.6255 0.9989 0.8251  8 H 2.16-2.36
7 H 0.2831 0.8314 0.4859  1 Nb 1.95, 2 H 2.07-2.16
8 H 0.0156 0.0066 0.8360  1 Nb 1.90, 1 H 1.97
9 H 0.4844 0.5066 0.6640  1 Nb 1.90, 1 H 1.97
10 H 0.9844 0.9934 0.1640  1 Nb 1.90, 1 H 1.97
11 H 0.2820 0.1701 0.4850  1 Nb 1.95, 1 H 2.07
12 H 0.7180 0.8299 0.5150  1 Nb 1.95, 1 H 2.07
13 H 0.7831 0.6686 0.9859  1 Nb 1.95, 2 H 2.07-2.16
14 H 0.2169 0.3314 0.0141  1 Nb 1.95, 2 H 2.07-2.16
15 H 0.7169 0.1686 0.5141  1 Nb 1.95, 2 H 2.07-2.16
16 H 0.2180 0.6701 0.0150  1 Nb 1.95, 1 H 2.07
17 H 0.7820 0.3299 0.9850  1 Nb 1.95, 1 H 2.07
18 H 0.5156 0.4934 0.3360  1 Nb 1.90, 1 H 1.97


- Among the records above, which one has the lowest N(E_F)?
  TiNbHPt2